Run a
TmZrSi2 | GGA-PBE | optimized geometry

Computed properties:
The size of the total moment comes out at 0.000 μB/f.u. As for the crystal system: orthorhombic. The density of states at the Fermi level comes out at 2.18 states/eV per cell.

abc: 3.765 5.477 7.413
angles: 90.00 90.00 90.00
Fractional positions:
Tm (0.500, 0.371, 0.322)
Tm (0.500, 0.629, 0.822)
Zr (0.000, 0.128, 0.680)
Zr (0.000, 0.872, 0.180)
Si (0.000, 0.622, 0.538)
Si (0.000, 0.378, 0.038)
Si (0.500, 0.889, 0.459)
Si (0.500, 0.111, 0.959)

Run b
TmZrSi2 | GGA-PBE | optimized geometry

Computed properties:
The size of the total moment comes out at 0.000 μB/f.u. As for the crystal system: trigonal. The density of states at the Fermi level comes out at 2.09 states/eV per cell.

abc: 3.826 3.826 7.091
angles: 74.35 74.35 60.00
Fractional positions:
Si (0.255, 0.255, 0.234)
Si (0.745, 0.745, 0.766)
Tm (0.500, 0.500, 0.500)
Zr (0.000, 0.000, 0.000)

Tell me which of them is the least stable. Sure, it is run b.

Run a
UV2Si | GGA-PBE | optimized geometry

Computed properties:
The size of the total moment comes out at 0.664 μB/f.u. As for the crystal system: tetragonal. The density of states at the Fermi level comes out at 7.13 states/eV per cell.

abc: 3.391 4.228 4.228
angles: 90.00 90.00 90.00
Site moments in Bohr magnetons follow the coordinates.
Fractional positions:
Si (0.500, 0.000, 0.000)  -0.01
U (0.500, 0.500, 0.500)  0.33
V (0.000, 0.000, 0.500)  0.15
V (0.000, 0.500, 0.000)  0.15

Run b
UV2Si | GGA-PBE | optimized geometry

Computed properties:
The size of the total moment comes out at 1.980 μB/f.u. As for the crystal system: tetragonal. The density of states at the Fermi level comes out at 7.36 states/eV per cell.

abc: 3.200 3.200 6.287
angles: 90.00 90.00 90.00
Site moments in Bohr magnetons follow the coordinates.
Fractional positions:
Si (0.500, 0.500, 0.000)  -0.01
U (0.500, 0.500, 0.500)  1.76
V (0.000, 0.000, 0.815)  0.04
V (0.000, 0.000, 0.185)  0.04

Tell me which of them is the least stable. Sure, it is run b.

Run a
ZrUSi | GGA-PBE | optimized geometry

Computed properties:
The size of the total moment comes out at 0.206 μB/f.u. As for the crystal system: orthorhombic. The density of states at the Fermi level comes out at 8.35 states/eV per cell.

abc: 4.684 5.699 5.699
angles: 93.94 65.73 65.73
Site moments in Bohr magnetons follow the coordinates.
Fractional positions:
U (0.000, 0.854, 0.146)  0.20
U (0.000, 0.146, 0.854)  0.20
Si (0.500, 0.654, 0.346)  0.00
Si (0.500, 0.346, 0.654)  0.00
Zr (0.762, 0.738, 0.738)  0.00
Zr (0.238, 0.262, 0.262)  0.00

Run b
ZrUSi | GGA-PBE | optimized geometry

Computed properties:
The size of the total moment comes out at 0.782 μB/f.u. As for the crystal system: hexagonal. The density of states at the Fermi level comes out at 5.38 states/eV per cell.

abc: 2.937 4.842 4.842
angles: 120.00 90.00 90.00
Site moments in Bohr magnetons follow the coordinates.
Fractional positions:
Si (0.500, 0.333, 0.667)  -0.01
U (0.000, 0.000, 0.000)  0.74
Zr (0.500, 0.667, 0.333)  -0.01

Tell me which of them is the least stable. Sure, it is run b.

Run a
V5Si | GGA-PBE | optimized geometry

Computed properties:
The size of the total moment comes out at 0.000 μB/f.u. As for the crystal system: orthorhombic. The density of states at the Fermi level comes out at 5.84 states/eV per cell.

abc: 4.248 4.269 4.875
angles: 90.00 64.17 90.00
Fractional positions:
V (0.500, 0.000, 0.500)
V (0.831, 0.000, 0.838)
V (0.169, 0.000, 0.162)
V (0.329, 0.500, 0.842)
V (0.671, 0.500, 0.158)
Si (0.000, 0.500, 0.500)

Run b
V5Si | GGA-PBE | optimized geometry

Computed properties:
The size of the total moment comes out at 0.000 μB/f.u. As for the crystal system: monoclinic. The density of states at the Fermi level comes out at 13.31 states/eV per cell.

abc: 4.907 5.064 7.493
angles: 90.00 90.00 121.13
Fractional positions:
V (0.750, 0.103, 0.250)
V (0.250, 0.897, 0.750)
V (0.256, 0.058, 0.419)
V (0.744, 0.942, 0.919)
V (0.744, 0.942, 0.581)
V (0.256, 0.058, 0.081)
V (0.247, 0.559, 0.417)
V (0.753, 0.441, 0.917)
V (0.753, 0.441, 0.583)
V (0.247, 0.559, 0.083)
Si (0.750, 0.601, 0.250)
Si (0.250, 0.399, 0.750)

Run c
V5Si | GGA-PBE | optimized geometry

Computed properties:
The size of the total moment comes out at 0.000 μB/f.u. As for the crystal system: orthorhombic. The density of states at the Fermi level comes out at 6.24 states/eV per cell.

abc: 3.136 4.096 6.513
angles: 108.33 90.00 90.00
Fractional positions:
Si (0.000, 0.000, 0.000)
V (0.000, 0.660, 0.320)
V (0.000, 0.340, 0.680)
V (0.500, 0.500, 0.000)
V (0.500, 0.170, 0.339)
V (0.500, 0.830, 0.661)

Tell me which of them is the least stable. Sure, it is run b.